Entry 1:
Below is an optimized crystal structure of CaCuRe2, with properties calculated at the PBE-GGA level.

Lattice parameters (Å, degrees): 4.515 4.515 4.515 60.00 60.00 60.00
Last column: magnetic moment on the atom in μB.
Fractional coordinates of all 4 atoms:
1 Re 0.750 0.750 0.750  0.70
2 Re 0.250 0.250 0.250  0.70
3 Ca 0.000 0.000 0.000  0.07
4 Cu 0.500 0.500 0.500  0.12

Calculated values
Energy of formation from the pure elements (eV/f.u.): 5.40
Density of states at the Fermi level (states/eV/atom): 1.693
Polymorph energy (0 for the lowest one) (eV per atom): 1.0658
Spin magnetization (μB per formula unit): 1.8
SG: Fm-3m, No. 225


Entry 2:
Below is an optimized crystal structure of YAlSi, with properties calculated at the PBE-GGA level.

Lattice parameters (Å, degrees): 4.725 4.725 4.725 60.00 60.00 60.00
Fractional coordinates of all 3 atoms:
1 Y 0.750 0.750 0.750
2 Si 0.500 0.500 0.500
3 Al 0.000 0.000 0.000

Calculated values
Density of states at the Fermi level (states/eV/atom): 0.271
Spin magnetization (μB per formula unit): 0.0
Formation energy without anion corrections (meV per atom): 140
SG: F-43m, No. 216


Entry 3:
Below is an optimized crystal structure of InSiAu2, with properties calculated at the PBE-GGA level.

Lattice parameters (Å, degrees): 3.797 3.797 5.526 90.00 90.00 90.00
Fractional coordinates of all 4 atoms:
1 Au 0.500 0.500 0.291
2 Au 0.000 0.000 0.935
3 Si 0.500 0.500 0.823
4 In 0.000 0.000 0.451

Calculated values
Density of states at the Fermi level (states/eV/atom): 0.367
Spin magnetization (μB per formula unit): 0.0
Formation energy without anion corrections (meV per atom): 63
SG: P4mm, No. 99


Entry 4:
Below is an optimized crystal structure of InAg3B, with properties calculated at the PBE-GGA level.

Lattice parameters (Å, degrees): 5.210 5.210 5.210 90.00 90.00 90.00
Fractional coordinates of all 5 atoms:
1 Ag 0.000 0.000 0.500
2 Ag 0.000 0.500 0.000
3 Ag 0.500 0.000 0.000
4 In 0.000 0.000 0.000
5 B 0.500 0.500 0.500

Calculated values
Energy of formation from the pure elements (eV/f.u.): 7.62
Density of states at the Fermi level (states/eV/atom): 0.502
Polymorph energy (0 for the lowest one) (eV per atom): 1.1015
Spin magnetization (μB per formula unit): 0.0
SG: Pm-3m, No. 221